Ba2SrGd (GGA-PBE, optimized geometry); ΔH_f (0 K) = 0.134 eV per atom; space group = P4/mmm (123); total energy = -4.768 eV/atom; energy relative to the lowest polymorph listed for this composition = 0.000 eV/atom
1.0
-1.1409 -2.4030 -3.1746
0.3146 -3.3465 2.4200
-11.5447 1.2375 3.2121
Ba Gd Sr
2 1 1
Direct
0.0000 0.0000 0.2257 Ba
0.0000 0.0000 0.7743 Ba
0.5000 0.5000 0.0000 Gd
0.5000 0.5000 0.5000 Sr